Computed, not measured: a relaxed SmP2Ir8 crystal at the PBE-GGA level of DFT.

## Properties
**M_tot**: 0.00 μB per atom

a = 6.1913 Å, b = 6.1913 Å, c = 9.1279 Å
α = 124.03°, β = 124.03°, γ = 37.31°
Last column: nearest neighbours and their distance in Å.
Atoms (fractional coordinates):
Ir: 0.4728 0.4728 0.6279  2 P 2.37
Ir: 0.5272 0.5272 0.3721  2 P 2.37
Ir: 0.7604 0.7604 0.8989  1 P 2.24
Ir: 0.1560 0.1560 0.6421  1 P 2.33
Ir: 0.1867 0.1867 0.3592  1 P 2.35
P: 0.9395 0.9395 0.1949  5 Ir 2.24-2.37
P: 0.0605 0.0605 0.8051  5 Ir 2.24-2.37
Sm: 0.5000 0.5000 0.0000  4 P 3.01, 12 Ir 3.10-3.37
Ir: 0.2396 0.2396 0.1011  1 P 2.24
Ir: 0.8133 0.8133 0.6408  1 P 2.35
Ir: 0.8440 0.8440 0.3579  1 P 2.33

=====

Computed, not measured: a relaxed Sm2PIr8 crystal at the PBE-GGA level of DFT.

## Properties
**M_tot**: 0.00 μB per atom

a = 4.2355 Å, b = 9.0464 Å, c = 9.0464 Å
α = 145.97°, β = 90.00°, γ = 90.00°
Last column: nearest neighbours and their distance in Å.
Atoms (fractional coordinates):
Ir: 0.0000 0.5101 0.0028  8 Ir 2.63-2.76
Sm: 0.5000 0.6267 0.3911  8 Ir 3.00-3.34, 2 P 3.24
Ir: 0.0000 0.1207 0.8940  1 P 2.33
Ir: 0.5000 0.9989 0.9989  2 P 2.44
Ir: 0.5000 0.8110 0.2156  6 Ir 2.62-2.63
Sm: 0.5000 0.3911 0.6267  8 Ir 3.00-3.34, 2 P 3.24
Ir: 0.0000 0.3471 0.3471  1 P 2.23
P: 0.0000 0.7684 0.7684  5 Ir 2.23-2.44
Ir: 0.0000 0.8940 0.1207  1 P 2.33
Ir: 0.5000 0.2156 0.8110  6 Ir 2.62-2.63
Ir: 0.0000 0.0028 0.5101  8 Ir 2.63-2.76

=====

Computed, not measured: a relaxed SnPIr4 crystal at the PBE-GGA level of DFT.

## Properties
**M_tot**: 0.00 μB per atom

a = 4.0392 Å, b = 4.0392 Å, c = 6.1817 Å
α = 90.00°, β = 90.00°, γ = 90.00°
Last column: nearest neighbours and their distance in Å.
Atoms (fractional coordinates):
Ir: 0.5000 0.0000 0.7821  2 P 2.43, 2 Sn 2.67, 1 Ir 2.69
Ir: 0.5000 0.0000 0.2179  2 P 2.43, 2 Sn 2.67, 1 Ir 2.69
P: 0.0000 0.0000 0.0000  8 Ir 2.43
Ir: 0.0000 0.5000 0.2179  2 P 2.43, 2 Sn 2.67, 1 Ir 2.69
Ir: 0.0000 0.5000 0.7821  2 P 2.43, 2 Sn 2.67, 1 Ir 2.69
Sn: 0.5000 0.5000 0.5000  8 Ir 2.67

=====

Computed, not measured: a relaxed TbP2Ir8 crystal at the PBE-GGA level of DFT.

## Properties
**M_tot**: 0.00 μB per atom

a = 6.1791 Å, b = 6.1791 Å, c = 9.0960 Å
α = 123.91°, β = 123.91°, γ = 37.29°
Last column: nearest neighbours and their distance in Å.
Atoms (fractional coordinates):
Tb: 0.5000 0.5000 0.0000  4 P 2.99, 10 Ir 3.08-3.31
P: 0.0591 0.0591 0.8059  5 Ir 2.23-2.36
P: 0.9409 0.9409 0.1941  5 Ir 2.23-2.36
Ir: 0.4736 0.4736 0.6295  2 P 2.36
Ir: 0.8444 0.8444 0.3576  1 P 2.34
Ir: 0.1556 0.1556 0.6424  1 P 2.34
Ir: 0.7620 0.7620 0.8993  1 P 2.23
Ir: 0.2380 0.2380 0.1007  1 P 2.23
Ir: 0.1870 0.1870 0.3592  1 P 2.34
Ir: 0.8130 0.8130 0.6408  1 P 2.34
Ir: 0.5264 0.5264 0.3705  2 P 2.36

=====

Computed, not measured: a relaxed Tb2P4Ir crystal at the PBE-GGA level of DFT.

## Properties
**M_tot**: 0.00 μB per atom

a = 6.7120 Å, b = 6.7120 Å, c = 3.9634 Å
α = 90.07°, β = 90.07°, γ = 107.33°
Last column: nearest neighbours and their distance in Å.
Atoms (fractional coordinates):
Tb: 0.5000 0.0000 0.5000  6 P 2.78-2.81
P: 0.8341 0.8341 0.4987  2 Ir 2.38, 1 P 2.64
P: 0.7589 0.2411 0.0000  1 Ir 2.61, 4 Tb 2.81
P: 0.2411 0.7589 0.0000  1 Ir 2.61, 4 Tb 2.81
Ir: 0.0000 0.0000 0.0000  6 P 2.38-2.61
Tb: 0.0000 0.5000 0.5000  6 P 2.78-2.81
P: 0.1659 0.1659 0.5013  2 Ir 2.38, 1 P 2.64

=====

Computed, not measured: a relaxed TbP2Ir2 crystal at the PBE-GGA level of DFT.

## Properties
**M_tot**: 0.00 μB per atom

a = 4.1303 Å, b = 4.1303 Å, c = 9.5623 Å
α = 90.00°, β = 90.00°, γ = 90.00°
Last column: nearest neighbours and their distance in Å.
Atoms (fractional coordinates):
Ir: 0.0000 0.5000 0.6149  5 P 2.34
P: 0.5000 0.5000 0.5000  4 Ir 2.34
P: 0.5000 0.0000 0.1406  5 Ir 2.34-2.46
P: 0.0000 0.0000 0.5000  4 Ir 2.34
Tb: 0.0000 0.5000 0.2584  8 P 3.10-3.13, 9 Ir 3.16-3.41
P: 0.0000 0.5000 0.8594  5 Ir 2.34-2.46
Tb: 0.5000 0.0000 0.7416  8 P 3.10-3.13, 9 Ir 3.16-3.41
Ir: 0.0000 0.0000 0.0000  4 P 2.46
Ir: 0.5000 0.5000 0.0000  4 P 2.46
Ir: 0.5000 0.0000 0.3851  5 P 2.34

=====

Computed, not measured: a relaxed TePIr crystal at the PBE-GGA level of DFT.

## Properties
**M_tot**: 0.00 μB per atom

a = 6.1005 Å, b = 6.1115 Å, c = 12.3696 Å
α = 90.00°, β = 90.00°, γ = 90.00°
Last column: nearest neighbours and their distance in Å.
Atoms (fractional coordinates):
Te: 0.8799 0.7902 0.9273  1 P 2.56, 3 Ir 2.65-2.73
P: 0.6234 0.9534 0.1901  3 Ir 2.38-2.42, 1 Te 2.56
Te: 0.3799 0.7902 0.5727  1 P 2.56, 3 Ir 2.65-2.73
Ir: 0.5216 0.3239 0.1421  3 P 2.38-2.42, 1 Te 2.65
Te: 0.3799 0.7098 0.0727  1 P 2.56, 3 Ir 2.65-2.73
P: 0.6234 0.5466 0.6901  3 Ir 2.38-2.42, 1 Te 2.56
P: 0.1234 0.9534 0.3099  3 Ir 2.38-2.42, 1 Te 2.56
Ir: 0.0216 0.1761 0.8579  3 P 2.38-2.42, 1 Te 2.65
P: 0.3766 0.0466 0.8099  3 Ir 2.38-2.42, 1 Te 2.56
P: 0.8766 0.0466 0.6901  3 Ir 2.38-2.42, 1 Te 2.56
Ir: 0.4784 0.6761 0.8579  3 P 2.38-2.42, 1 Te 2.65
Te: 0.1201 0.2098 0.0727  1 P 2.56, 3 Ir 2.65-2.73
Te: 0.1201 0.2902 0.5727  1 P 2.56, 3 Ir 2.65-2.73
Te: 0.6201 0.2902 0.9273  1 P 2.56, 3 Ir 2.65-2.73
Ir: 0.9784 0.6761 0.6421  3 P 2.38-2.42, 1 Te 2.65
Ir: 0.5216 0.1761 0.6421  3 P 2.38-2.42, 1 Te 2.65
P: 0.1234 0.5466 0.8099  3 Ir 2.38-2.42, 1 Te 2.56
Ir: 0.9784 0.8239 0.1421  3 P 2.38-2.42, 1 Te 2.65
Ir: 0.0216 0.3239 0.3579  3 P 2.38-2.42, 1 Te 2.65
Ir: 0.4784 0.8239 0.3579  3 P 2.38-2.42, 1 Te 2.65
Te: 0.6201 0.2098 0.4273  1 P 2.56, 3 Ir 2.65-2.73
P: 0.8766 0.4534 0.1901  3 Ir 2.38-2.42, 1 Te 2.56
Te: 0.8799 0.7098 0.4273  1 P 2.56, 3 Ir 2.65-2.73
P: 0.3766 0.4534 0.3099  3 Ir 2.38-2.42, 1 Te 2.56

=====

Computed, not measured: a relaxed ThP2Ir5 crystal at the PBE-GGA level of DFT.

## Properties
**M_tot**: 0.00 μB per atom

a = 6.1586 Å, b = 6.1586 Å, c = 6.1586 Å
α = 142.19°, β = 112.33°, γ = 80.21°
Last column: nearest neighbours and their distance in Å.
Atoms (fractional coordinates):
Ir: 0.5602 0.3543 0.2059  1 P 2.26
Ir: 0.8516 0.6457 0.2059  1 P 2.26
P: 0.2544 0.7544 0.5000  3 Ir 2.26-2.31
Ir: 0.4398 0.6457 0.7941  1 P 2.26
Ir: 0.5000 0.0000 0.5000  2 P 2.31
Ir: 0.1484 0.3543 0.7941  1 P 2.26
P: 0.7456 0.2456 0.5000  3 Ir 2.26-2.31
Th: 0.0000 0.0000 0.0000  4 P 3.12, 10 Ir 3.15-3.43

=====

Computed, not measured: a relaxed TlP5Ir3 crystal at the PBE-GGA level of DFT.

## Properties
**M_tot**: 0.07 μB per atom

a = 5.5171 Å, b = 5.5171 Å, c = 7.1840 Å
α = 90.00°, β = 90.00°, γ = 120.00°
Last column: nearest neighbours and their distance in Å.
Atoms (fractional coordinates):
Ir: 0.5000 0.0000 0.5000  4 P 2.40
P: 0.6667 0.3333 0.2503  3 Ir 2.40
Ir: 0.0000 0.5000 0.5000  4 P 2.40
P: 0.3333 0.6667 0.7497  3 Ir 2.40
P: 0.3333 0.6667 0.2503  3 Ir 2.40
Ir: 0.5000 0.5000 0.5000  4 P 2.40
Tl: 0.0000 0.0000 0.0000  14 P 3.59-3.66
P: 0.6667 0.3333 0.7497  3 Ir 2.40
P: 0.0000 0.0000 0.5000  6 Ir 2.76

=====

Computed, not measured: a relaxed ZnP2Ir crystal at the PBE-GGA level of DFT.

## Properties
**M_tot**: 0.00 μB per atom

a = 6.5548 Å, b = 6.5548 Å, c = 6.5548 Å
α = 131.29°, β = 131.29°, γ = 71.35°
Last column: nearest neighbours and their distance in Å.
Atoms (fractional coordinates):
P: 0.3750 0.8524 0.9774  2 Ir 2.26, 2 Zn 2.40
Zn: 0.0000 0.0000 0.0000  4 P 2.40
P: 0.1476 0.1250 0.5226  2 Ir 2.26, 2 Zn 2.40
Ir: 0.2500 0.7500 0.5000  4 P 2.26
P: 0.6024 0.6250 0.4774  2 Ir 2.26, 2 Zn 2.40
P: 0.8750 0.3976 0.0226  2 Ir 2.26, 2 Zn 2.40
Zn: 0.7500 0.2500 0.5000  4 P 2.40
Ir: 0.5000 0.5000 0.0000  4 P 2.26

=====

Computed, not measured: a relaxed Zr3PIr crystal at the PBE-GGA level of DFT.

## Properties
**M_tot**: 0.00 μB per atom

a = 6.1888 Å, b = 6.1888 Å, c = 9.5470 Å
α = 90.00°, β = 90.00°, γ = 146.42°
Last column: nearest neighbours and their distance in Å.
Atoms (fractional coordinates):
Zr: 0.1472 0.8528 0.5711  2 P 2.59, 2 Ir 2.76
Zr: 0.8528 0.1472 0.0711  2 P 2.59, 2 Ir 2.76
Zr: 0.1472 0.8528 0.9289  2 P 2.59, 2 Ir 2.76
Ir: 0.2491 0.7509 0.2500  6 Zr 2.72-2.76
Zr: 0.4239 0.5761 0.7500  2 P 2.55, 2 Ir 2.72
Ir: 0.7509 0.2491 0.7500  6 Zr 2.72-2.76
Zr: 0.8528 0.1472 0.4289  2 P 2.59, 2 Ir 2.76
P: 0.5000 0.5000 0.0000  6 Zr 2.55-2.59
Zr: 0.5761 0.4239 0.2500  2 P 2.55, 2 Ir 2.72
P: 0.5000 0.5000 0.5000  6 Zr 2.55-2.59

=====

Computed, not measured: a relaxed PaIr crystal at the PBE-GGA level of DFT.

## Properties
**M_tot**: 0.00 μB per atom

a = 4.0047 Å, b = 4.0047 Å, c = 4.0047 Å
α = 60.00°, β = 60.00°, γ = 60.00°
Last column: nearest neighbours and their distance in Å.
Atoms (fractional coordinates):
Pa: 0.5000 0.5000 0.5000  6 Ir 2.83
Ir: 0.0000 0.0000 0.0000  6 Pa 2.83

=====

Here are the calculated raw total energy numbers, same order: -8.283; -8.271; -7.502; -8.284; -6.342; -7.625; -6.271; -8.554; -6.070; -5.383; -8.894; -10.027 (eV/atom).